{"formula": "Sr2ZnInPt6", "functional": "PBE", "state": "optimized geometry", "lattice": [[2.8109, 1.6229, 8.4640], [-2.8109, 1.6229, 8.4640], [0.0000, -3.2457, 8.4640]], "species": ["Sr", "Sr", "Zn", "In", "Pt", "Pt", "Pt", "Pt", "Pt", "Pt"], "fractional_positions": [[0.1999, 0.1999, 0.1999], [0.8001, 0.8001, 0.8001], [0.5000, 0.5000, 0.5000], [0.0000, 0.0000, 0.0000], [0.2529, 0.7451, 0.7451], [0.2549, 0.2549, 0.7471], [0.2549, 0.7471, 0.2549], [0.7451, 0.2529, 0.7451], [0.7451, 0.7451, 0.2529], [0.7471, 0.2549, 0.2549]], "n_ef_per_ev_fu": 6.46, "total_energy_ev_per_atom": -4.8593}